(1)
PBE-GGA DyReSb, optimized geometry; SG = F-43m; relative energy among the computed polymorphs = 0.559 eV per atom
1.0
6.7820 0.0000 0.0000
0.0000 6.7820 0.0000
0.0000 0.0000 6.7820
Dy Re Sb
4 4 4
Direct
0.0000 0.0000 0.0000 Dy
0.0000 0.5000 0.5000 Dy
0.5000 0.0000 0.5000 Dy
0.5000 0.5000 0.0000 Dy
0.2500 0.2500 0.7500 Re
0.2500 0.7500 0.2500 Re
0.7500 0.2500 0.2500 Re
0.7500 0.7500 0.7500 Re
0.2500 0.2500 0.2500 Sb
0.2500 0.7500 0.7500 Sb
0.7500 0.2500 0.7500 Sb
0.7500 0.7500 0.2500 Sb

=====

(2)
PBE-GGA PrBeAu, optimized geometry; SG = F-43m; E = -3.57 eV/atom
1.0
6.8387 0.0000 0.0000
0.0000 6.8387 0.0000
0.0000 0.0000 6.8387
Pr Be Au
4 4 4
Direct
0.0000 0.0000 0.0000 Pr
0.0000 0.5000 0.5000 Pr
0.5000 0.0000 0.5000 Pr
0.5000 0.5000 0.0000 Pr
0.2500 0.2500 0.2500 Be
0.2500 0.7500 0.7500 Be
0.7500 0.2500 0.7500 Be
0.7500 0.7500 0.2500 Be
0.2500 0.2500 0.7500 Au
0.2500 0.7500 0.2500 Au
0.7500 0.2500 0.2500 Au
0.7500 0.7500 0.7500 Au

=====

(3)
PBE-GGA Hf3InAs5, optimized geometry; SG = P6/mmm; E = -6.55 eV/atom
1.0
6.1701 0.0000 0.0000
-3.0851 5.3435 0.0000
0.0000 0.0000 6.4038
Hf In As
3 1 5
Direct
0.0000 0.5000 0.0000 Hf
0.5000 0.0000 0.0000 Hf
0.5000 0.5000 0.0000 Hf
0.0000 0.0000 0.5000 In
0.0000 0.0000 0.0000 As
0.3333 0.6667 0.3080 As
0.3333 0.6667 0.6920 As
0.6667 0.3333 0.3080 As
0.6667 0.3333 0.6920 As

=====

(4)
PBE-GGA ZrMo, optimized geometry; energy of formation = 278 meV/atom; SG = Pbcm; relative energy among the computed polymorphs = 0.269 eV per atom
1.0
5.4076 0.0000 0.0000
0.0000 5.5442 0.0000
0.0000 0.0000 5.0832
Zr Mo
4 4
Direct
0.1387 0.1084 0.2500 Zr
0.1387 0.3916 0.7500 Zr
0.8613 0.6084 0.2500 Zr
0.8613 0.8916 0.7500 Zr
0.3745 0.6168 0.2500 Mo
0.3745 0.8832 0.7500 Mo
0.6255 0.1168 0.2500 Mo
0.6255 0.3832 0.7500 Mo

=====

(5)
PBE-GGA AgTe2, optimized geometry; SG = Fd-3m; E = -2.50 eV/atom
1.0
0.0000 4.4690 4.4690
4.4690 0.0000 4.4690
4.4690 4.4690 0.0000
Ag Te
2 4
Direct
0.1250 0.1250 0.1250 Ag
0.8750 0.8750 0.8750 Ag
0.0000 0.5000 0.5000 Te
0.5000 0.0000 0.5000 Te
0.5000 0.5000 0.0000 Te
0.5000 0.5000 0.5000 Te

=====

(6)
PBE-GGA SrPrNO, optimized geometry; SG = Pmc2_1; relative energy among the computed polymorphs = 0.071 eV per atom
1.0
3.9690 0.0000 0.0000
0.0000 7.1070 0.0000
0.0000 0.0000 6.1028
Sr Pr N O
2 2 2 2
Direct
0.0000 0.1604 0.0000 Sr
0.0000 0.8396 0.5000 Sr
0.5000 0.3382 0.5099 Pr
0.5000 0.6618 0.0099 Pr
0.0000 0.1845 0.4139 N
0.0000 0.8155 0.9139 N
0.5000 0.3459 0.8932 O
0.5000 0.6541 0.3932 O

=====

(7)
PBE-GGA PdAu, optimized geometry; energy of formation = 317 meV/atom; SG = Fm-3m
1.0
5.3460 0.0000 0.0000
0.0000 5.3460 0.0000
0.0000 0.0000 5.3460
Pd Au
4 4
Direct
0.0000 0.0000 0.0000 Pd
0.0000 0.5000 0.5000 Pd
0.5000 0.0000 0.5000 Pd
0.5000 0.5000 0.0000 Pd
0.0000 0.0000 0.5000 Au
0.0000 0.5000 0.0000 Au
0.5000 0.0000 0.0000 Au
0.5000 0.5000 0.5000 Au

=====

(8)
PBE-GGA DyMg2AgAu4, optimized geometry; SG = P4/mmm; E = -3.49 eV/atom
1.0
4.8058 0.0000 0.0000
0.0000 4.8058 0.0000
0.0000 0.0000 6.7768
Dy Mg Ag Au
1 2 1 4
Direct
0.0000 0.0000 0.0000 Dy
0.0000 0.0000 0.5000 Mg
0.5000 0.5000 0.0000 Mg
0.5000 0.5000 0.5000 Ag
0.0000 0.5000 0.2586 Au
0.0000 0.5000 0.7414 Au
0.5000 0.0000 0.2586 Au
0.5000 0.0000 0.7414 Au